4
Lattice="-2.797 2.815 -0.469 -2.357 1.004 3.066 2.896 6.181 2.806" Properties=species:S:1:pos:R:3 comment="TlCuS2 (GGA-PBEsol, relaxed)" dft_energy_ev_per_cell=-15.840 e_form_raw_ev_per_atom=-0.027 spacegroup="R-3m (166)" pbc="T T T"
Tl -1.129 5.000 2.702
Cu 0.000 0.000 0.000
S 1.517 4.714 2.226
S -3.775 5.286 3.178